Record 1
TbInSe: relaxed, PBE.

Cell: 4.3064 4.3056 12.4650 Å, 89.17 80.05 59.99°
Fractional positions:
Tb  0.1762  0.9015  0.7462
Tb  0.8238  0.0985  0.2538
Se  0.2208  0.4042  0.1542
Se  0.7792  0.5958  0.8458
In  0.6270  0.1839  0.5621
In  0.3730  0.8161  0.4379

* E_form (uncorrected): -96.24 kJ per mole of atoms
* N(E_F): 0.28 states/eV/f.u.
* raw total energy: -4.615 eV/atom
* SG: C2/m, No. 12

***

Record 2
TbIn3Se6: relaxed, PBE.

Cell: 4.0794 11.9049 11.4244 Å, 111.70 90.00 90.00°
Fractional positions:
In  0.7500  0.1685  0.0962
In  0.2500  0.2943  0.5227
In  0.7500  0.4384  0.8342
In  0.2500  0.8315  0.9038
In  0.7500  0.7057  0.4773
In  0.2500  0.5616  0.1658
Tb  0.2500  0.9505  0.2977
Tb  0.7500  0.0495  0.7023
Se  0.2500  0.9011  0.5356
Se  0.7500  0.0989  0.4644
Se  0.7500  0.7491  0.2601
Se  0.2500  0.1981  0.2631
Se  0.7500  0.9306  0.0916
Se  0.7500  0.3965  0.0619
Se  0.2500  0.5464  0.3958
Se  0.2500  0.2509  0.7399
Se  0.7500  0.4536  0.6042
Se  0.2500  0.0694  0.9084
Se  0.7500  0.8019  0.7369
Se  0.2500  0.6035  0.9381

* E_form (uncorrected): -78.42 kJ per mole of atoms
* N(E_F): 1.14 states/eV/f.u.
* raw total energy: -4.188 eV/atom
* SG: P2_1/m, No. 11

***

Record 3
Tb3In5Se12: relaxed, PBE.

Cell: 14.2975 14.2975 14.2975 Å, 109.47 109.47 109.47°
Fractional positions:
In  0.8750  0.2500  0.6250
In  0.5000  0.5000  0.5000
In  0.2500  0.3750  0.6250
In  0.5000  0.5000  0.0000
In  0.8750  0.6250  0.7500
In  0.0000  0.5000  0.5000
In  0.0000  0.0000  0.5000
In  0.7500  0.6250  0.3750
In  0.2500  0.8750  0.1250
In  0.0000  0.0000  0.0000
In  0.7500  0.1250  0.8750
In  0.6250  0.8750  0.2500
In  0.6250  0.7500  0.8750
In  0.5000  0.0000  0.0000
In  0.5000  0.0000  0.5000
In  0.1250  0.3750  0.2500
In  0.1250  0.7500  0.3750
In  0.0000  0.5000  0.0000
In  0.3750  0.1250  0.7500
In  0.3750  0.2500  0.1250
Se  0.2819  0.8682  0.9548
Se  0.9134  0.0863  0.8682
Se  0.4548  0.7819  0.8682
Se  0.5866  0.9548  0.6729
Se  0.4134  0.3682  0.5863
Se  0.1729  0.0863  0.7181
Se  0.4548  0.6729  0.0866
Se  0.7819  0.4548  0.3682
Se  0.0866  0.9137  0.1318
Se  0.0452  0.6318  0.7181
Se  0.5452  0.2181  0.1318
Se  0.7181  0.1318  0.0452
Se  0.9137  0.0866  0.6318
Se  0.7181  0.5863  0.1729
Se  0.8271  0.9137  0.2819
Se  0.9548  0.5866  0.1729
Se  0.9137  0.8271  0.7819
Se  0.8271  0.9134  0.0452
Se  0.1318  0.7181  0.5452
Se  0.6318  0.0452  0.2181
Se  0.4134  0.0452  0.3271
Se  0.3271  0.7819  0.4137
Se  0.1729  0.0866  0.9548
Se  0.3682  0.9548  0.7819
Se  0.9134  0.8271  0.5452
Se  0.4137  0.2819  0.3271
Se  0.3271  0.5452  0.4134
Se  0.8682  0.2819  0.4548
Se  0.0863  0.9134  0.3682
Se  0.4137  0.1318  0.5866
Se  0.5866  0.6318  0.4137
Se  0.2181  0.6729  0.0863
Se  0.2181  0.5452  0.6318
Se  0.0452  0.4134  0.8271
Se  0.5452  0.3271  0.9134
Se  0.6729  0.2181  0.5863
Se  0.0866  0.1729  0.4548
Se  0.9548  0.3682  0.2819
Se  0.0863  0.1729  0.2181
Se  0.6318  0.5866  0.9137
Se  0.7819  0.3271  0.9137
Se  0.2819  0.4137  0.8271
Se  0.5863  0.8682  0.4134
Se  0.8682  0.5863  0.9134
Se  0.5863  0.7181  0.6729
Se  0.1318  0.4137  0.0866
Se  0.6729  0.4548  0.5866
Se  0.3682  0.4134  0.0863
Tb  0.1250  0.2500  0.8750
Tb  0.7500  0.3750  0.1250
Tb  0.7500  0.8750  0.6250
Tb  0.1250  0.8750  0.7500
Tb  0.3750  0.6250  0.2500
Tb  0.6250  0.2500  0.3750
Tb  0.8750  0.7500  0.1250
Tb  0.2500  0.6250  0.8750
Tb  0.6250  0.3750  0.7500
Tb  0.3750  0.7500  0.6250
Tb  0.8750  0.1250  0.2500
Tb  0.2500  0.1250  0.3750

* E_form (uncorrected): -93.57 kJ per mole of atoms
* raw total energy: -4.440 eV/atom
* SG: Ia-3d, No. 230

***

Record 4
Tb6InSe12: relaxed, PBE.

Cell: 8.2145 8.2145 8.2145 Å, 98.48 98.48 98.48°
Fractional positions:
Se  0.6567  0.9650  0.0238
Se  0.0238  0.6567  0.9650
Se  0.4224  0.8207  0.5761
Se  0.9762  0.3433  0.0350
Se  0.3433  0.0350  0.9762
Se  0.5776  0.1793  0.4239
Se  0.1793  0.4239  0.5776
Se  0.4239  0.5776  0.1793
Se  0.9650  0.0238  0.6567
Se  0.8207  0.5761  0.4224
Se  0.5761  0.4224  0.8207
Se  0.0350  0.9762  0.3433
Tb  0.3305  0.1421  0.6396
Tb  0.3604  0.6695  0.8579
Tb  0.6396  0.3305  0.1421
Tb  0.6695  0.8579  0.3604
Tb  0.1421  0.6396  0.3305
Tb  0.8579  0.3604  0.6695
In  0.0000  0.0000  0.0000

* E_form (uncorrected): -140.15 kJ per mole of atoms
* N(E_F): 8.32 states/eV/f.u.
* raw total energy: -5.260 eV/atom
* SG: R-3, No. 148

***

| no. | M_tot (μB per cell) |
| --- | --- |
| 1 | 0.00 |
| 2 | 0.00 |
| 3 | 0.00 |
| 4 | 0.00 |